Entry from Alexandria: crystalline Ac3AgAu at its relaxed geometry (PBE).

a = 5.5774 Å, b = 21.5528 Å, c = 5.5881 Å
α = 90.00°, β = 90.00°, γ = 90.00°
With the nearest neighbours (Å) after each atom.
Space group Cmcm (No. 63)
Asymmetric unit:
1 Ac 0.0000 0.0695 0.2500 x4  2 Ag 3.39, 2 Au 3.40
2 Ac 0.0000 0.2497 0.2500 x4  4 Au 3.40-3.41, 4 Ag 3.41
3 Ac 0.0000 0.4298 0.2500 x4  2 Ag 3.38, 2 Au 3.40
4 Ag 0.0000 0.1588 0.7500 x4  8 Ac 3.38-3.41
5 Au 0.0000 0.3402 0.7500 x4  8 Ac 3.40-3.41

Values from the calculation:
formation energy = -402 meV/atom
total moment = 0.000 μB per atom


Entry from Alexandria: crystalline VAsCSe2 at its relaxed geometry (PBE).

a = 4.7138 Å, b = 4.7138 Å, c = 4.8050 Å
α = 90.00°, β = 90.00°, γ = 90.00°
With the nearest neighbours (Å) after each atom.
Space group P4/mmm (No. 123)
Asymmetric unit:
1 V 0.0000 0.0000 0.0000 x1  4 Se 2.36, 2 As 2.40
2 As 0.0000 0.0000 0.5000 x1  2 V 2.40
3 C 0.5000 0.5000 0.5000 x1  4 As 3.33, 8 Se 3.37
4 Se 0.0000 0.5000 0.0000 x2  2 V 2.36

Values from the calculation:
total moment = 0.312 μB per atom
ΔE_f (raw) = 6.84 eV/f.u.


Entry from Alexandria: crystalline Mg2CrHg at its relaxed geometry (PBE).

a = 4.0780 Å, b = 4.0866 Å, c = 8.7972 Å
α = 90.00°, β = 90.00°, γ = 90.00°
With the nearest neighbours (Å) after each atom.
Space group Cmmm (No. 65)
Asymmetric unit:
1 Mg 0.0000 0.0000 0.2254 x4  4 Cr 2.84-2.85, 4 Mg 2.89, 4 Hg 3.16
2 Cr 0.0000 0.5000 0.0000 x2  8 Mg 2.84-2.85, 4 Cr 2.89
3 Hg 0.0000 0.5000 0.5000 x2  4 Hg 2.89, 8 Mg 3.16

Values from the calculation:
formation energy = 338 meV/atom
total moment = 0.000 μB per atom


Entry from Alexandria: crystalline NaAl3S at its relaxed geometry (PBE).

a = 5.1839 Å, b = 5.1839 Å, c = 5.1839 Å
α = 90.00°, β = 90.00°, γ = 90.00°
With the nearest neighbours (Å) after each atom.
Space group Pm-3m (No. 221)
Asymmetric unit:
1 Na 0.0000 0.0000 0.0000 x1  6 Al 2.59
2 Al 0.0000 0.0000 0.5000 x3  2 Na 2.59
3 S 0.5000 0.5000 0.5000 x1  12 Al 3.67

Values from the calculation:
total moment = 0.000 μB per atom
ΔE_f (raw) = 5.58 eV/f.u.


Entry from Alexandria: crystalline CePr3Zr2P6 at its relaxed geometry (PBE).

a = 6.9419 Å, b = 12.0188 Å, c = 6.9940 Å
α = 90.00°, β = 109.36°, γ = 90.00°
With the nearest neighbours (Å) after each atom.
Space group C2/m (No. 12)
Asymmetric unit:
1 Ce 0.0000 0.0000 0.0000 x2  6 P 2.81
2 Pr 0.0000 0.1644 0.5000 x4  6 P 2.90-2.96
3 Pr 0.0000 0.5000 0.5000 x2  6 P 2.89-2.95
4 Zr 0.0000 0.3334 0.0000 x4  6 P 2.72-2.73
5 P 0.2320 0.5000 0.2247 x4  2 Zr 2.72, 1 Ce 2.81, 3 Pr 2.89-2.95
6 P 0.2473 0.1714 0.2279 x8  2 Zr 2.73, 1 Ce 2.81, 3 Pr 2.90-2.96

Values from the calculation:
formation energy = -1447 meV/atom
total moment = 0.000 μB per atom


Entry from Alexandria: crystalline MnIn2Co at its relaxed geometry (PBE).

a = 7.2793 Å, b = 7.2793 Å, c = 5.6589 Å
α = 90.00°, β = 90.00°, γ = 90.00°
With the nearest neighbours (Å) after each atom.
Space group I-42d (No. 122)
Asymmetric unit:
1 Mn 0.0000 0.0000 0.0000 x4  4 In 2.79, 2 Co 2.83
2 In 0.2267 0.2500 0.6250 x8  2 Co 2.56, 2 Mn 2.79, 2 In 2.85
3 Co 0.0000 0.0000 0.5000 x4  4 In 2.56, 2 Mn 2.83

Values from the calculation:
formation energy = 530 meV/atom
total moment = 1.053 μB per atom


Entry from Alexandria: crystalline Li6P2Ru at its relaxed geometry (PBE).

a = 6.4456 Å, b = 6.4456 Å, c = 8.6056 Å
α = 90.00°, β = 90.00°, γ = 90.00°
With the nearest neighbours (Å) after each atom.
Space group P4_2/mnm (No. 136)
Asymmetric unit:
1 Li 0.1861 0.1861 0.0000 x4  2 P 2.61, 1 Ru 2.86, 2 Li 2.87
2 Li 0.2458 0.2458 0.3276 x8  2 P 2.37-2.39
3 P 0.0000 0.0000 0.2305 x4  1 Ru 2.32, 4 Li 2.37-2.39
4 Ru 0.0000 0.0000 0.5000 x2  2 P 2.32

Values from the calculation:
formation energy = -247 meV/atom
total moment = 0.208 μB per atom


Entry from Alexandria: crystalline KHgAs at its relaxed geometry (PBE).

a = 4.0021 Å, b = 4.0021 Å, c = 11.8936 Å
α = 90.00°, β = 90.00°, γ = 90.00°
With the nearest neighbours (Å) after each atom.
Space group I4mm (No. 107)
Asymmetric unit:
1 K 0.0000 0.0000 0.0000 x2  1 Hg 3.17, 1 As 3.22
2 Hg 0.0000 0.0000 0.2665 x2  4 As 2.86, 1 K 3.17
3 As 0.0000 0.0000 0.7291 x2  4 Hg 2.86

Values from the calculation:
formation energy = -104 meV/atom
total moment = 0.000 μB per atom